# 1
Computed, not measured: crystalline Sr2GeAu7 at its relaxed geometry at the PBE level of DFT. Values from VASP.

## Properties
formation energy = -0.431 eV/atom
total magnetization = 0.000 μB/cell

```
&SYSTEM
  ibrav = 0, nat = 10, ntyp = 3
/
ATOMIC_SPECIES
Sr 87.62 Sr.upf
Ge 72.64 Ge.upf
Au 196.97 Au.upf
CELL_PARAMETERS angstrom
4.210 0.000 0.000
0.000 4.210 0.000
0.000 0.000 13.025
ATOMIC_POSITIONS angstrom
Sr 0.000 2.105 3.212
Sr 2.105 0.000 9.813
Ge 0.000 0.000 6.513
Au 0.000 0.000 0.000
Au 0.000 2.105 8.383
Au 0.000 2.105 11.097
Au 2.105 0.000 1.929
Au 2.105 0.000 4.642
Au 2.105 2.105 0.000
Au 2.105 2.105 6.513
```

# 2
Computed, not measured: crystalline SrGeAu3 at its relaxed geometry at the PBE level of DFT. Values from VASP.

## Properties
E above lowest polymorph = 0 meV per atom
formation energy = -0.521 eV/atom
total magnetization = 0.000 μB/cell

```
&SYSTEM
  ibrav = 0, nat = 10, ntyp = 3
/
ATOMIC_SPECIES
Sr 87.62 Sr.upf
Ge 72.64 Ge.upf
Au 196.97 Au.upf
CELL_PARAMETERS angstrom
6.486 0.000 0.000
0.000 6.486 0.000
0.000 0.000 5.479
ATOMIC_POSITIONS angstrom
Sr 1.622 4.865 0.000
Sr 4.865 1.622 0.000
Ge 1.622 1.622 1.534
Ge 4.865 4.865 3.945
Au 0.000 0.000 2.740
Au 0.000 3.243 2.740
Au 1.622 1.622 4.522
Au 3.243 0.000 2.740
Au 3.243 3.243 2.740
Au 4.865 4.865 0.957
```

# 3
Computed, not measured: crystalline SrGe2Au5 at its relaxed geometry at the PBE level of DFT. Values from VASP.

## Properties
formation energy = -0.310 eV/atom
total magnetization = 0.000 μB/cell

```
&SYSTEM
  ibrav = 0, nat = 8, ntyp = 3
/
ATOMIC_SPECIES
Sr 87.62 Sr.upf
Ge 72.64 Ge.upf
Au 196.97 Au.upf
CELL_PARAMETERS angstrom
-2.235 3.674 5.182
2.235 -3.674 5.182
2.235 3.674 -5.182
ATOMIC_POSITIONS angstrom
Sr 0.000 0.000 0.000
Ge 2.235 0.000 2.620
Ge 0.000 3.674 2.562
Au 2.235 2.230 -1.450
Au 2.235 2.230 1.450
Au 0.000 3.674 0.000
Au 0.000 1.445 3.732
Au 0.000 1.445 6.632
```

# 4
Computed, not measured: crystalline SrGeAu4 at its relaxed geometry at the PBE level of DFT. Values from VASP.

## Properties
E above lowest polymorph = 58 meV per atom
formation energy = -0.299 eV/atom
total magnetization = 0.000 μB/cell

```
&SYSTEM
  ibrav = 0, nat = 6, ntyp = 3
/
ATOMIC_SPECIES
Sr 87.62 Sr.upf
Ge 72.64 Ge.upf
Au 196.97 Au.upf
CELL_PARAMETERS angstrom
0.000 4.020 4.020
4.020 0.000 4.020
4.020 4.020 0.000
ATOMIC_POSITIONS angstrom
Sr 0.000 0.000 0.000
Ge 2.010 2.010 2.010
Au 5.023 3.017 3.017
Au 3.017 5.023 3.017
Au 3.017 3.017 5.023
Au 5.023 5.023 5.023
```

# 5
Computed, not measured: crystalline SrGe2Au at its relaxed geometry at the PBE level of DFT. Values from VASP.

## Properties
formation energy = -0.273 eV/atom
total magnetization = 0.000 μB/cell

```
&SYSTEM
  ibrav = 0, nat = 4, ntyp = 3
/
ATOMIC_SPECIES
Sr 87.62 Sr.upf
Ge 72.64 Ge.upf
Au 196.97 Au.upf
CELL_PARAMETERS angstrom
4.498 0.000 0.000
0.000 3.249 3.730
0.000 -3.249 3.730
ATOMIC_POSITIONS angstrom
Sr 0.000 0.000 0.000
Ge 2.249 -1.183 5.223
Ge 2.249 1.183 5.223
Au 2.249 0.000 2.894
```

# 6
Computed, not measured: crystalline Sr3GeAu at its relaxed geometry at the PBE level of DFT. Values from VASP.

## Properties
E above lowest polymorph = 0 meV per atom
formation energy = -0.227 eV/atom
total magnetization = 0.000 μB/cell

```
&SYSTEM
  ibrav = 0, nat = 5, ntyp = 3
/
ATOMIC_SPECIES
Sr 87.62 Sr.upf
Ge 72.64 Ge.upf
Au 196.97 Au.upf
CELL_PARAMETERS angstrom
6.009 0.000 0.000
0.000 6.009 0.000
0.000 0.000 6.009
ATOMIC_POSITIONS angstrom
Sr 0.000 0.000 3.004
Sr 0.000 3.004 0.000
Sr 3.004 0.000 0.000
Ge 0.000 0.000 0.000
Au 3.004 3.004 3.004
```

> Among the records above, which one has the lowest formation energy?

SrGeAu3

> What is the formula in the third record?

SrGe2Au5